<i>
PuZrBi2 GGA-PBE optimized geometry; DOS at the Fermi energy = 14.4 states/eV/f.u.; space group = R-3m (166)
1.0
-1.057 3.409 -2.476
0.192 -3.974 -1.743
-6.420 -1.984 3.818
Pu Zr Bi
1 1 2
Cartesian
-4.171 0.430 -1.439
0.192 -3.974 -1.743
-5.419 -0.795 1.217
-1.867 -1.754 -1.619

---

<ii>
PuZrBi2 GGA-PBE optimized geometry; DOS at the Fermi energy = 8.2 states/eV/f.u.; space group = P4/mmm (123)
1.0
3.359 0.000 0.000
0.000 5.661 0.000
0.000 0.000 5.661
Bi Zr Pu
2 1 1
Cartesian
0.000 0.000 2.831
0.000 2.831 0.000
1.680 0.000 0.000
1.680 2.831 2.831

---

<i> has the most favorable energy; the next structure is 93 meV/atom above.

---

<i>
PuZrBi2 GGA-PBE optimized geometry; DOS at the Fermi energy = 7.9 states/eV/f.u.; space group = P4/mmm (123)
1.0
3.635 0.000 0.000
0.000 3.635 0.000
0.000 0.000 8.107
Bi Zr Pu
2 1 1
Cartesian
0.000 0.000 6.248
0.000 0.000 1.858
1.817 1.817 0.000
1.817 1.817 4.053

---

<ii>
PuZrBi2 GGA-PBE optimized geometry; DOS at the Fermi energy = 10.1 states/eV/f.u.; space group = Fm-3m (225)
1.0
5.343 0.000 0.000
2.671 4.627 0.000
2.671 1.542 4.362
Bi Zr Pu
2 1 1
Cartesian
2.671 1.542 1.091
8.014 4.627 3.272
5.343 3.085 2.181
0.000 0.000 0.000

---

<i> has the most favorable energy; the next structure is 40 meV/atom above.

---

<i>
RbBi3 GGA-PBE optimized geometry; DOS at the Fermi energy = 1.3 states/eV/f.u.; space group = Pmm2 (25)
1.0
-1.861 4.009 2.698
-2.287 -3.286 3.306
5.156 -0.004 3.563
Bi Rb
3 1
Cartesian
4.465 -0.004 3.085
2.073 2.002 3.424
2.386 0.358 6.083
0.680 -1.644 2.913

---

<ii>
RbBi3 GGA-PBE optimized geometry; DOS at the Fermi energy = 4.2 states/eV/f.u.; space group = P6_3/mmc (194)
1.0
2.922 -5.062 0.000
2.922 5.062 0.000
0.000 0.000 10.297
Rb Bi
2 6
Cartesian
2.922 1.687 2.574
2.922 -1.687 7.723
2.922 1.687 6.156
2.922 -1.687 4.141
2.922 -1.687 1.007
2.922 1.687 9.289
0.000 0.000 2.574
0.000 0.000 7.723

---

<i> has the most favorable energy; the next structure is 343 meV/atom above.

---

<i>
Rb3Bi GGA-PBE optimized geometry; DOS at the Fermi energy = 8.4 states/eV/f.u.; space group = I4/mmm (139)
1.0
6.461 0.000 0.000
0.000 6.461 0.000
-3.230 -3.230 4.545
Bi Rb
1 3
Cartesian
0.000 0.000 0.000
3.230 0.000 2.272
0.000 3.230 2.272
3.230 3.230 0.000

---

<ii>
Rb3Bi GGA-PBE optimized geometry; DOS at the Fermi energy = 2.8 states/eV/f.u.; space group = P-4m2 (115)
1.0
5.845 0.000 0.000
0.000 5.846 0.000
0.000 0.000 5.845
Bi Rb
1 3
Cartesian
2.923 0.000 3.411
0.000 0.000 0.479
0.000 2.923 3.408
2.923 2.923 0.495

---

<iii>
Rb3Bi GGA-PBE optimized geometry; DOS at the Fermi energy = 4.5 states/eV/f.u.; space group = P6_3/mmc (194)
1.0
6.522 0.000 0.000
-3.261 5.649 0.000
0.000 0.000 11.579
Rb Bi
6 2
Cartesian
0.000 3.766 10.648
3.261 1.883 4.858
0.000 0.000 2.895
3.261 1.883 0.931
0.000 0.000 8.684
0.000 3.766 6.721
3.261 1.883 8.684
0.000 3.766 2.895

---

<iii> has the most favorable energy; the next structure is 29 meV/atom above.

---

<i>
RbReBi3 GGA-PBE optimized geometry; DOS at the Fermi energy = 4.9 states/eV/f.u.; space group = Pm-3m (221)
1.0
5.527 0.000 0.000
0.000 5.527 0.000
0.000 0.000 5.527
Re Bi Rb
1 3 1
Cartesian
0.000 0.000 0.000
0.000 2.764 0.000
0.000 0.000 2.764
2.764 0.000 0.000
2.764 2.764 2.764

---

<ii>
RbReBi3 GGA-PBE optimized geometry; DOS at the Fermi energy = 17.4 states/eV/f.u.; space group = Pm-3m (221)
1.0
-2.294 1.163 -5.173
-3.444 -4.612 0.490
-4.031 3.279 2.524
Re Bi Rb
1 3 1
Cartesian
-4.884 -0.085 -1.079
-1.722 -2.306 0.245
-2.016 1.639 1.262
-1.147 0.581 -2.586
0.000 0.000 0.000

---

<i> has the most favorable energy; the next structure is 2180 meV/atom above.

---

<i>
RbRe3Bi GGA-PBE optimized geometry; DOS at the Fermi energy = 7.1 states/eV/f.u.; space group = Pm-3m (221)
1.0
-3.693 -3.409 -1.313
2.275 -0.686 -4.619
2.858 -3.859 1.981
Re Bi Rb
3 1 1
Cartesian
1.137 -0.343 -2.310
1.429 -1.929 0.990
-1.846 -1.705 -0.656
0.000 0.000 0.000
0.720 -3.977 -1.976

---

<ii>
RbRe3Bi GGA-PBE optimized geometry; DOS at the Fermi energy = 7.9 states/eV/f.u.; space group = Pm-3m (221)
1.0
-4.537 -1.265 1.068
1.653 -3.296 3.119
-0.089 3.295 3.529
Re Bi Rb
3 1 1
Cartesian
0.827 -1.648 1.559
-0.044 1.648 1.765
-2.268 -0.633 0.534
-1.486 -0.633 3.858
0.000 0.000 0.000

---

<i> has the most favorable energy; the next structure is 900 meV/atom above.

---

<i>
RbBi2Rh GGA-PBE optimized geometry; DOS at the Fermi energy = 1.6 states/eV/f.u.; space group = I-42d (122)
1.0
-1.396 -2.453 8.186
8.307 -2.336 0.716
4.250 0.763 5.533
Rh Bi Rb
2 4 2
Cartesian
0.000 0.000 0.000
3.155 -2.043 9.085
1.104 -1.854 7.320
6.205 -1.357 2.123
5.038 -1.015 7.424
9.977 -3.827 12.003
3.456 -2.395 4.451
8.007 -1.984 5.350

---

<ii>
RbBi2Rh GGA-PBE optimized geometry; DOS at the Fermi energy = 2.1 states/eV/f.u.; space group = R3m (160)
1.0
-1.167 3.877 1.569
-1.890 0.285 3.899
6.218 2.168 5.275
Rb Bi Rh
1 2 1
Cartesian
1.624 3.170 5.392
5.142 2.052 4.761
0.060 1.504 2.337
4.133 4.938 8.898

---

<iii>
RbBi2Rh GGA-PBE optimized geometry; DOS at the Fermi energy = 1.5 states/eV/f.u.; space group = P4/mmm (123)
1.0
-1.474 3.141 -0.412
-2.818 -1.093 1.753
3.827 2.834 7.919
Rh Bi Rb
1 2 1
Cartesian
-2.146 1.024 0.671
3.150 2.333 6.519
0.677 0.501 1.400
-0.233 2.441 4.630

---

<iv>
RbBi2Rh GGA-PBE optimized geometry; DOS at the Fermi energy = 1.8 states/eV/f.u.; space group = R-3m (166)
1.0
-1.035 3.804 -2.203
-3.275 -0.011 -3.109
-6.414 2.943 3.467
Rh Bi Rb
1 2 1
Cartesian
0.000 0.000 0.000
-2.132 1.499 -1.038
-8.592 5.237 -0.806
-5.362 3.368 -0.922

---

<iv> has the most favorable energy; the next structure is 10 meV/atom above.

---

<i>
RbBi2Rh GGA-PBE optimized geometry; DOS at the Fermi energy = 1.3 states/eV/f.u.; space group = Fm-3m (225)
1.0
0.000 3.738 3.738
3.738 0.000 3.738
3.738 3.738 0.000
Rh Bi Rb
1 2 1
Cartesian
3.738 3.738 3.738
1.869 1.869 1.869
5.607 5.607 5.607
0.000 0.000 0.000

---

<ii>
RbBi2Rh GGA-PBE optimized geometry; DOS at the Fermi energy = 2.1 states/eV/f.u.; space group = P2_1/m (11)
1.0
-1.732 1.248 -3.886
-0.178 -7.328 -2.273
-7.025 1.769 3.699
Rb Bi Rh
2 4 2
Cartesian
-1.575 -5.080 -4.862
-1.193 -2.107 -1.552
-4.505 -3.093 -2.919
-3.254 0.391 0.172
-5.284 -2.331 0.203
-6.358 1.513 -0.615
-4.866 -4.935 -0.820
-4.924 -0.489 -1.894

---

<ii> has the most favorable energy; the next structure is 483 meV/atom above.

---

<i>
RbBi2Rh2 GGA-PBE optimized geometry; DOS at the Fermi energy = 4.1 states/eV/f.u.; space group = I4/mmm (139)
1.0
4.924 0.000 0.000
0.000 4.924 0.000
2.462 2.462 5.396
Rh Bi Rb
2 2 1
Cartesian
2.462 2.462 1.338
4.924 4.924 4.058
4.924 2.462 2.698
2.462 4.924 2.698
0.000 0.000 0.000

---

<ii>
RbBi2Rh2 GGA-PBE optimized geometry; DOS at the Fermi energy = 2.2 states/eV/f.u.; space group = I4/mmm (139)
1.0
-3.536 -2.137 1.204
0.483 -2.678 -3.334
2.757 -7.044 3.280
Rh Bi Rb
2 2 1
Cartesian
-1.152 -5.794 1.710
0.857 -6.065 -0.559
-0.283 -3.753 0.196
-0.012 -8.106 0.955
0.000 0.000 0.000

---

<iii>
RbBi2Rh2 GGA-PBE optimized geometry; DOS at the Fermi energy = 5.1 states/eV/f.u.; space group = P4/mbm (127)
1.0
-3.025 -6.671 4.432
2.074 -5.228 -6.454
2.994 -0.467 1.340
Rh Bi Rb
4 4 2
Cartesian
0.679 -7.099 -3.990
-1.360 -9.108 -0.135
-1.629 -4.800 1.967
0.410 -2.792 -1.888
2.394 -4.598 -2.855
1.309 -9.010 -1.967
-0.351 -7.768 2.172
0.735 -3.357 1.284
0.000 0.000 0.000
-0.475 -5.950 -1.011

---

<ii> has the most favorable energy; the next structure is 250 meV/atom above.

---

<i>
Rb2BiSb2 GGA-PBE optimized geometry; DOS at the Fermi energy = 2.9 states/eV/f.u.; space group = P4/mbm (127)
1.0
-1.412 1.215 8.007
-7.997 -1.492 -1.184
0.908 -5.680 1.022
Sb Bi Rb
4 2 4
Cartesian
-7.546 -0.850 1.981
-6.220 0.136 6.285
-1.863 0.574 4.842
-3.189 -0.413 0.538
0.000 0.000 0.000
-4.705 -0.138 3.412
-5.221 -3.635 1.135
-7.076 -3.242 4.968
-3.280 -2.321 6.711
-1.425 -2.715 2.877

---

<ii>
Rb2BiSb2 GGA-PBE optimized geometry; DOS at the Fermi energy = 6.2 states/eV/f.u.; space group = I4/mmm (139)
1.0
-4.370 -1.463 2.240
2.674 -2.543 3.555
-0.704 4.208 7.233
Sb Bi Rb
2 1 2
Cartesian
-0.822 -0.901 3.667
-1.578 1.103 9.362
0.000 0.000 0.000
-2.961 0.371 6.186
0.561 -0.169 6.843

---

<iii>
Rb2BiSb2 GGA-PBE optimized geometry; DOS at the Fermi energy = 0.3 states/eV/f.u.; space group = C2/m (12)
1.0
6.083 0.000 0.000
3.041 6.436 -1.273
3.041 -1.162 10.306
Rb Bi Sb
4 2 4
Cartesian
3.041 1.529 1.274
6.083 1.183 7.410
9.124 3.744 7.760
6.083 4.090 1.624
6.083 0.411 3.740
6.083 4.862 5.293
9.124 -0.140 9.268
3.041 0.978 4.947
3.041 5.414 -0.235
9.124 4.295 4.087

---

<iii> has the most favorable energy; the next structure is 6 meV/atom above.

---

<i>
Rb3BiSb GGA-PBE optimized geometry; DOS at the Fermi energy = 3.5 states/eV/f.u.; space group = Cmc2_1 (36)
1.0
-5.633 -0.720 1.468
2.829 0.002 10.858
-2.355 7.850 -5.185
Rb Bi Sb
6 2 2
Cartesian
-4.475 1.248 1.166
-0.755 5.875 5.993
-0.860 2.205 3.813
-5.458 4.916 -0.787
-4.381 4.917 3.349
0.218 2.206 7.949
-2.299 6.879 0.598
-2.949 0.242 6.566
-1.931 3.864 0.502
-3.304 3.258 6.658

---

<ii>
Rb3BiSb GGA-PBE optimized geometry; DOS at the Fermi energy = 10.5 states/eV/f.u.; space group = Pm-3m (221)
1.0
6.975 0.000 0.000
0.000 6.975 0.000
0.000 0.000 6.975
Sb Bi Rb
1 1 3
Cartesian
0.000 0.000 0.000
3.488 3.488 3.488
0.000 3.488 0.000
0.000 0.000 3.488
3.488 0.000 0.000

---

<i> has the most favorable energy; the next structure is 395 meV/atom above.